Record 1
## Cr2SbAs (GGA-PBE)

Data for a geometry-optimized Cr2SbAs structure.

formation energy (no corrections)	0.28	eV/atom
electronic total energy	-26.883	eV per formula unit

abc: 3.245 3.245 7.054
angles: 90.00 90.00 100.06
Fractional positions:
1 Cr 0.000 0.000 0.214
2 Cr 0.000 0.000 0.786
3 Sb 0.500 0.500 0.500
4 As 0.500 0.500 0.000



Record 2
## InCuSb2Se5 (GGA-PBE)

Data for a geometry-optimized InCuSb2Se5 structure.

formation energy (no corrections)	-0.27	eV/atom
electronic total energy	-34.922	eV per formula unit

abc: 9.599 9.599 12.882
angles: 90.00 90.00 156.24
Fractional positions:
1 In 0.224 0.776 0.500
2 In 0.776 0.224 0.000
3 Cu 0.434 0.566 0.934
4 Cu 0.566 0.434 0.434
5 Sb 0.092 0.908 0.132
6 Sb 0.099 0.901 0.722
7 Sb 0.901 0.099 0.222
8 Sb 0.908 0.092 0.632
9 Se 0.035 0.965 0.534
10 Se 0.295 0.705 0.163
11 Se 0.312 0.688 0.871
12 Se 0.368 0.632 0.493
13 Se 0.493 0.507 0.766
14 Se 0.507 0.493 0.266
15 Se 0.632 0.368 0.993
16 Se 0.688 0.312 0.371
17 Se 0.705 0.295 0.663
18 Se 0.965 0.035 0.034



Record 3
## HgPAuO2 (GGA-PBE)

Data for a geometry-optimized HgPAuO2 structure.

formation energy (no corrections)	0.53	eV/atom
ΔE to the lowest computed polymorph	0.0	meV/atom
electronic total energy	-16.268	eV per formula unit

abc: 4.007 4.007 5.190
angles: 90.00 90.00 90.00
Fractional positions:
1 Hg 0.000 0.000 0.000
2 P 0.500 0.500 0.000
3 Au 0.500 0.500 0.500
4 O 0.000 0.500 0.500
5 O 0.500 0.000 0.500



Record 4
## ZrRhN (GGA-PBE)

Data for a geometry-optimized ZrRhN structure.

formation energy (no corrections)	-0.57	eV/atom
electronic total energy	-25.947	eV per formula unit

abc: 8.093 8.093 8.093
angles: 27.02 27.02 27.02
Fractional positions:
1 Zr 0.112 0.112 0.112
2 Zr 0.888 0.888 0.888
3 Rh 0.350 0.350 0.350
4 Rh 0.650 0.650 0.650
5 N 0.205 0.205 0.205
6 N 0.795 0.795 0.795



Record 5
## HgH (GGA-PBE)

Data for a geometry-optimized HgH structure.

ΔE to the lowest computed polymorph	344.8	meV/atom
electronic total energy	-2.921	eV per formula unit

abc: 3.783 3.783 3.783
angles: 131.34 119.86 80.89
Fractional positions:
1 Hg 0.000 0.000 0.000
2 H 0.500 0.000 0.500



Record 6
## PrCd12 (GGA-PBE)

Data for a geometry-optimized PrCd12 structure.

electronic total energy	-17.380	eV per formula unit

abc: 7.670 7.670 7.670
angles: 98.84 98.84 133.84
Fractional positions:
1 Pr 0.000 0.000 0.000
2 Cd 0.000 0.000 0.500
3 Cd 0.000 0.352 0.352
4 Cd 0.000 0.500 0.000
5 Cd 0.000 0.648 0.648
6 Cd 0.286 0.500 0.786
7 Cd 0.352 0.000 0.352
8 Cd 0.500 0.000 0.000
9 Cd 0.500 0.286 0.786
10 Cd 0.500 0.500 0.500
11 Cd 0.500 0.714 0.214
12 Cd 0.648 0.000 0.648
13 Cd 0.714 0.500 0.214



Record 7
## Ce2ZnSiPd6 (GGA-PBE)

Data for a geometry-optimized Ce2ZnSiPd6 structure.

formation energy (no corrections)	-0.43	eV/atom
electronic total energy	-54.016	eV per formula unit

abc: 6.609 6.609 6.609
angles: 60.00 60.00 60.00
Fractional positions:
1 Ce 0.250 0.250 0.250
2 Ce 0.750 0.750 0.750
3 Zn 0.000 0.000 0.000
4 Si 0.500 0.500 0.500
5 Pd 0.257 0.257 0.743
6 Pd 0.257 0.743 0.257
7 Pd 0.257 0.743 0.743
8 Pd 0.743 0.257 0.257
9 Pd 0.743 0.257 0.743
10 Pd 0.743 0.743 0.257



Record 8
## LiCuAu14 (GGA-PBE)

Data for a geometry-optimized LiCuAu14 structure.

electronic total energy	-53.194	eV per formula unit

abc: 5.846 5.846 8.219
angles: 90.00 90.00 90.00
Fractional positions:
1 Li 0.000 0.000 0.000
2 Cu 0.500 0.500 0.000
3 Au 0.000 0.000 0.500
4 Au 0.000 0.500 0.000
5 Au 0.000 0.500 0.500
6 Au 0.250 0.250 0.241
7 Au 0.250 0.250 0.759
8 Au 0.250 0.750 0.241
9 Au 0.250 0.750 0.759
10 Au 0.500 0.000 0.000
11 Au 0.500 0.000 0.500
12 Au 0.500 0.500 0.500
13 Au 0.750 0.250 0.241
14 Au 0.750 0.250 0.759
15 Au 0.750 0.750 0.241
16 Au 0.750 0.750 0.759



Record 9
## AcSnPd2Au4 (GGA-PBE)

Data for a geometry-optimized AcSnPd2Au4 structure.

electronic total energy	-34.276	eV per formula unit

abc: 8.366 8.366 8.366
angles: 34.67 34.67 34.67
Fractional positions:
1 Ac 0.000 0.000 0.000
2 Sn 0.500 0.500 0.500
3 Pd 0.262 0.262 0.262
4 Pd 0.738 0.738 0.738
5 Au 0.140 0.140 0.140
6 Au 0.385 0.385 0.385
7 Au 0.615 0.615 0.615
8 Au 0.860 0.860 0.860



Record 10
## GaSiC (GGA-PBE)

Data for a geometry-optimized GaSiC structure.

formation energy (no corrections)	0.62	eV/atom
ΔE to the lowest computed polymorph	483.7	meV/atom
electronic total energy	-15.810	eV per formula unit

abc: 3.465 3.465 8.985
angles: 98.58 98.58 50.49
Fractional positions:
1 Ga 0.000 0.000 0.000
2 Ga 0.217 0.217 0.703
3 Si 0.605 0.605 0.434
4 Si 0.838 0.838 0.252
5 C 0.315 0.315 0.116
6 C 0.934 0.934 0.777



Record 11
## RbVTe2I (GGA-PBE)

Data for a geometry-optimized RbVTe2I structure.

formation energy (no corrections)	-0.46	eV/atom
ΔE to the lowest computed polymorph	0.0	meV/atom
electronic total energy	-20.241	eV per formula unit

abc: 5.290 5.290 6.200
angles: 90.00 90.00 90.00
Fractional positions:
1 Rb 0.000 0.000 0.000
2 V 0.500 0.500 0.500
3 Te 0.000 0.500 0.500
4 Te 0.500 0.000 0.500
5 I 0.500 0.500 0.000



Record 12
## BaCdRe2 (GGA-PBE)

Data for a geometry-optimized BaCdRe2 structure.

electronic total energy	-24.723	eV per formula unit

abc: 5.315 5.315 6.149
angles: 107.80 107.80 42.77
Fractional positions:
1 Ba 0.000 0.000 0.000
2 Cd 0.500 0.500 0.500
3 Re 0.234 0.234 0.601
4 Re 0.766 0.766 0.399



Record 13
## Th2RuBr (GGA-PBE)

Data for a geometry-optimized Th2RuBr structure.

formation energy (no corrections)	-0.82	eV/atom
ΔE to the lowest computed polymorph	18.3	meV/atom
electronic total energy	-29.079	eV per formula unit

abc: 8.381 8.381 8.381
angles: 28.52 28.52 28.52
Fractional positions:
1 Th 0.000 0.000 0.000
2 Th 0.211 0.211 0.211
3 Ru 0.606 0.606 0.606
4 Br 0.435 0.435 0.435



Record 14
## Na2SrLiZr (GGA-PBE)

Data for a geometry-optimized Na2SrLiZr structure.

electronic total energy	-10.700	eV per formula unit

abc: 5.303 5.303 6.098
angles: 90.00 90.00 90.00
Fractional positions:
1 Na 0.000 0.500 0.000
2 Na 0.500 0.000 0.000
3 Sr 0.000 0.000 0.500
4 Li 0.000 0.000 0.000
5 Zr 0.500 0.500 0.500



Record 15
## Ag3Hg5Pb12 (GGA-PBE)

Data for a geometry-optimized Ag3Hg5Pb12 structure.

electronic total energy	-50.910	eV per formula unit

abc: 15.191 15.191 15.191
angles: 109.47 109.47 109.47
Fractional positions:
1 Ag 0.125 0.250 0.375
2 Ag 0.125 0.375 0.750
3 Ag 0.250 0.375 0.125
4 Ag 0.250 0.875 0.625
5 Ag 0.375 0.125 0.250
6 Ag 0.375 0.750 0.125
7 Ag 0.625 0.250 0.875
8 Ag 0.625 0.875 0.750
9 Ag 0.750 0.125 0.375
10 Ag 0.750 0.625 0.875
11 Ag 0.875 0.625 0.250
12 Ag 0.875 0.750 0.625
13 Hg 0.000 0.000 0.000
14 Hg 0.000 0.000 0.500
15 Hg 0.000 0.500 0.000
16 Hg 0.000 0.500 0.500
17 Hg 0.125 0.750 0.875
18 Hg 0.125 0.875 0.250
19 Hg 0.250 0.125 0.875
20 Hg 0.250 0.625 0.375
21 Hg 0.375 0.250 0.625
22 Hg 0.375 0.625 0.750
23 Hg 0.500 0.000 0.000
24 Hg 0.500 0.000 0.500
25 Hg 0.500 0.500 0.000
26 Hg 0.500 0.500 0.500
27 Hg 0.625 0.375 0.250
28 Hg 0.625 0.750 0.375
29 Hg 0.750 0.375 0.625
30 Hg 0.750 0.875 0.125
31 Hg 0.875 0.125 0.750
32 Hg 0.875 0.250 0.125
33 Pb 0.062 0.631 0.396
34 Pb 0.062 0.931 0.666
35 Pb 0.069 0.235 0.131
36 Pb 0.069 0.334 0.938
37 Pb 0.104 0.735 0.666
38 Pb 0.104 0.869 0.438
39 Pb 0.131 0.069 0.235
40 Pb 0.131 0.562 0.896
41 Pb 0.166 0.235 0.604
42 Pb 0.166 0.431 0.562
43 Pb 0.235 0.131 0.069
44 Pb 0.235 0.604 0.166
45 Pb 0.265 0.334 0.896
46 Pb 0.265 0.431 0.369
47 Pb 0.334 0.896 0.265
48 Pb 0.334 0.938 0.069
49 Pb 0.369 0.265 0.431
50 Pb 0.369 0.604 0.938
51 Pb 0.396 0.062 0.631
52 Pb 0.396 0.834 0.765
53 Pb 0.431 0.369 0.265
54 Pb 0.431 0.562 0.166
55 Pb 0.438 0.104 0.869
56 Pb 0.438 0.834 0.569
57 Pb 0.562 0.166 0.431
58 Pb 0.562 0.896 0.131
59 Pb 0.569 0.438 0.834
60 Pb 0.569 0.631 0.735
61 Pb 0.604 0.166 0.235
62 Pb 0.604 0.938 0.369
63 Pb 0.631 0.396 0.062
64 Pb 0.631 0.735 0.569
65 Pb 0.666 0.062 0.931
66 Pb 0.666 0.104 0.735
67 Pb 0.735 0.569 0.631
68 Pb 0.735 0.666 0.104
69 Pb 0.765 0.396 0.834
70 Pb 0.765 0.869 0.931
71 Pb 0.834 0.569 0.438
72 Pb 0.834 0.765 0.396
73 Pb 0.869 0.438 0.104
74 Pb 0.869 0.931 0.765
75 Pb 0.896 0.131 0.562
76 Pb 0.896 0.265 0.334
77 Pb 0.931 0.666 0.062
78 Pb 0.931 0.765 0.869
79 Pb 0.938 0.069 0.334
80 Pb 0.938 0.369 0.604



Record 16
## Sc4TlRe (GGA-PBE)

Data for a geometry-optimized Sc4TlRe structure.

electronic total energy	-37.175	eV per formula unit

abc: 5.590 5.590 5.590
angles: 60.00 60.00 60.00
Fractional positions:
1 Sc 0.378 0.378 0.378
2 Sc 0.378 0.378 0.867
3 Sc 0.378 0.867 0.378
4 Sc 0.867 0.378 0.378
5 Tl 0.000 0.000 0.000
6 Re 0.750 0.750 0.750